*1*
{"formula": "LaHo7Er2", "functional": "GGA-PBE", "state": "optimized geometry", "lattice": [[5.644, 0.000, 0.000], [0.000, 9.086, -0.465], [0.000, -4.514, 7.899]], "species": ["La", "Ho", "Ho", "Ho", "Ho", "Ho", "Ho", "Ho", "Er", "Er"], "fractional_positions": [[0.000, 0.000, 0.000], [0.000, 0.779, 0.221], [0.000, 0.221, 0.779], [0.500, 0.060, 0.294], [0.500, 0.940, 0.706], [0.500, 0.294, 0.060], [0.500, 0.706, 0.940], [0.500, 0.500, 0.500], [0.500, 0.703, 0.297], [0.500, 0.297, 0.703]], "vol_a3_per_cell": 393, "crystal_system": "orthorhombic"}

*2*
{"formula": "LaHo7Er2", "functional": "GGA-PBE", "state": "optimized geometry", "lattice": [[5.834, -1.819, -0.580], [-2.161, 7.438, -1.671], [-0.927, 1.468, 7.737]], "species": ["La", "Ho", "Ho", "Ho", "Ho", "Ho", "Ho", "Ho", "Er", "Er"], "fractional_positions": [[0.000, 0.000, 0.000], [0.000, 0.799, 0.401], [0.000, 0.201, 0.599], [0.000, 0.598, 0.798], [0.000, 0.402, 0.202], [0.500, 0.900, 0.202], [0.500, 0.100, 0.798], [0.500, 0.500, 0.000], [0.499, 0.698, 0.598], [0.501, 0.302, 0.402]], "vol_a3_per_cell": 315, "crystal_system": "triclinic"}

The structure shown above that is least stable: *1*.